K3Rb8Hg after structural relaxation, computed with PBE.

Cell and atoms, written as extended XYZ:
```
24
Lattice="-5.711 -7.090 -3.075 11.325 -9.690 1.307 -9.183 2.379 11.571" Properties=species:S:1:pos:R:3 pbc="T T T"
K -4.348 -10.029 8.285
K -5.473 -6.191 1.525
K -10.293 -4.942 7.599
K 0.630 -4.557 1.437
K 1.755 -8.395 8.197
K 6.575 -9.644 2.123
Rb -9.900 -6.124 3.076
Rb -8.967 -9.309 8.685
Rb -4.967 -10.345 3.645
Rb 3.703 -11.540 5.311
Rb 2.769 -8.355 -0.298
Rb -1.231 -7.319 4.742
Rb -1.686 -8.903 0.493
Rb -0.841 -11.784 5.567
Rb 2.777 -12.722 1.008
Rb -2.128 -5.801 9.178
Rb -2.972 -2.921 4.104
Rb -6.591 -1.983 8.663
Rb -6.080 -6.278 6.139
Rb 3.612 -6.757 4.255
Rb -0.086 -0.107 -0.046
Rb -2.942 -3.652 -1.584
Hg -2.692 -2.073 7.963
Hg 1.288 -9.641 3.004
```

space group = P6_3mc, No. 186
crystal system = hexagonal
energy of formation from the pure elements = -18 meV/atom
electronic total energy = -0.96 eV/atom
total magnetic moment = 0.00 μB/f.u.

=====

K4Rb3Hg3 after structural relaxation, computed with PBE.

Cell and atoms, written as extended XYZ:
```
20
Lattice="-6.114 -9.012 2.618 9.729 -3.264 -4.490 1.982 5.985 9.258" Properties=species:S:1:pos:R:3 pbc="T T T"
K 0.658 1.987 3.073
K 1.163 -2.597 4.448
K -2.116 -5.564 2.550
K 1.649 4.979 7.702
K -0.222 -9.130 -0.067
K 6.028 -4.229 2.203
K 2.835 -4.624 -1.376
K 6.796 0.303 3.625
Rb 5.210 -2.844 6.370
Rb -1.679 -4.961 6.955
Rb 3.380 -0.854 0.958
Rb 0.410 0.701 7.364
Rb 7.232 -4.361 -2.117
Rb 2.238 -6.555 2.629
Hg 7.276 -1.330 0.432
Hg 0.387 -3.448 1.017
Hg 5.187 -6.992 0.022
Hg 2.217 -5.437 6.428
Hg 3.358 0.264 4.757
Hg -1.635 -1.930 9.503
```

space group = I-43d, No. 220
crystal system = cubic
energy of formation from the pure elements = -144 meV/atom
electronic total energy = -0.96 eV/atom
total magnetic moment = 0.00 μB/f.u.

=====

KRb3Hg after structural relaxation, computed with PBE.

Cell and atoms, written as extended XYZ:
```
5
Lattice="7.178 0.000 0.000 0.000 7.178 0.000 0.000 0.000 7.178" Properties=species:S:1:pos:R:3 pbc="T T T"
K 3.589 3.589 3.589
Hg 0.000 0.000 0.000
Rb 0.000 3.589 0.000
Rb 0.000 0.000 3.589
Rb 3.589 0.000 0.000
```

space group = Pm-3m, No. 221
crystal system = cubic
energy of formation from the pure elements = -63 meV/atom
electronic total energy = -0.92 eV/atom
total magnetic moment = 0.00 μB/f.u.

=====

K14RbHg after structural relaxation, computed with PBE.

Cell and atoms, written as extended XYZ:
```
16
Lattice="8.869 0.000 0.000 -4.435 8.359 0.000 0.000 0.000 14.726" Properties=species:S:1:pos:R:3 pbc="T T T"
K 0.000 2.882 0.000
K 4.435 3.023 0.000
K 2.092 7.493 7.363
K 2.285 7.099 0.000
K -2.092 7.493 7.363
K -2.285 7.099 0.000
K 6.629 1.269 10.973
K 6.629 1.269 3.754
K 2.241 1.269 10.973
K 2.241 1.269 3.754
K 0.000 5.539 11.197
K 0.000 5.539 3.530
K 4.435 5.051 10.245
K 4.435 5.051 4.481
Rb 0.000 3.209 7.363
Hg 4.435 2.315 7.363
```

space group = Amm2, No. 38
crystal system = orthorhombic
energy of formation from the pure elements = -6 meV/atom
electronic total energy = -1.05 eV/atom
total magnetic moment = 0.00 μB/f.u.

=====

K2Rb2Hg after structural relaxation, computed with PBE.

Cell and atoms, written as extended XYZ:
```
10
Lattice="9.676 0.000 0.000 0.000 9.676 0.000 0.000 0.000 7.417" Properties=species:S:1:pos:R:3 pbc="T T T"
K 1.673 6.511 3.709
K 6.511 8.003 3.709
K 8.003 3.165 3.709
K 3.165 1.673 3.709
Hg 0.000 0.000 0.000
Hg 4.838 4.838 0.000
Rb 3.302 8.140 0.000
Rb 8.140 6.374 0.000
Rb 6.374 1.536 0.000
Rb 1.536 3.302 0.000
```

space group = P4/mbm, No. 127
crystal system = tetragonal
energy of formation from the pure elements = -13 meV/atom
electronic total energy = -0.90 eV/atom
total magnetic moment = 0.00 μB/f.u.

=====

KRbHg14 after structural relaxation, computed with PBE.

Cell and atoms, written as extended XYZ:
```
32
Lattice="-3.503 11.387 4.482 2.067 3.633 10.458 6.486 9.204 -0.241" Properties=species:S:1:pos:R:3 pbc="T T T"
K 1.491 10.295 2.120
K 3.243 4.602 -0.121
Rb 0.316 4.863 5.965
Rb 4.733 19.361 8.734
Hg 0.856 11.822 6.782
Hg 4.194 12.402 7.917
Hg 7.040 12.745 9.270
Hg -1.990 11.479 5.428
Hg 3.097 6.451 4.106
Hg 1.953 17.774 10.593
Hg 5.317 18.179 12.193
Hg -0.267 6.046 2.506
Hg 3.842 7.718 1.469
Hg 1.208 16.506 13.230
Hg 1.930 13.209 4.099
Hg 3.120 11.016 10.600
Hg 0.999 12.968 9.809
Hg 2.921 14.927 6.335
Hg 2.056 6.399 9.250
Hg 5.367 10.109 2.412
Hg 4.050 11.256 4.890
Hg 2.128 9.298 8.364
Hg 2.993 17.826 5.449
Hg -0.318 14.115 12.287
Hg 6.011 15.631 10.611
Hg 0.705 3.177 1.956
Hg -0.023 14.898 7.758
Hg 3.235 15.297 9.291
Hg -0.961 8.594 4.088
Hg 4.344 21.047 12.743
Hg 5.072 9.326 6.941
Hg 1.814 8.928 5.408
```

space group = Imma, No. 74
crystal system = orthorhombic
energy of formation from the pure elements = -97 meV/atom
electronic total energy = -0.49 eV/atom
total magnetic moment = 0.00 μB/f.u.

=====

K4Rb9Hg after structural relaxation, computed with PBE.

Cell and atoms, written as extended XYZ:
```
28
Lattice="-0.451 -10.855 8.568 5.504 -7.795 -9.586 7.941 6.579 8.753" Properties=species:S:1:pos:R:3 pbc="T T T"
K 2.305 -2.108 3.037
K 7.553 2.240 8.822
K 11.191 -2.912 2.487
K 10.690 -9.964 4.698
K 5.441 -14.312 -1.087
K 1.804 -9.160 5.248
K 0.000 0.000 0.000
K -0.226 -5.428 4.284
Rb 8.895 -3.022 -1.978
Rb 5.992 -5.427 -5.179
Rb 3.979 -2.577 -1.674
Rb 4.099 -9.050 9.713
Rb 7.003 -6.645 12.914
Rb 9.015 -9.495 9.409
Rb 4.269 -4.965 6.489
Rb 7.172 -2.560 9.689
Rb 9.185 -5.410 6.184
Rb 8.726 -7.107 1.246
Rb 5.822 -9.512 -1.954
Rb 3.809 -6.662 1.551
Rb 9.830 -0.221 5.824
Rb 6.696 -2.818 2.369
Rb 4.523 0.259 6.153
Rb 3.164 -11.851 1.911
Rb 6.299 -9.254 5.366
Rb 8.472 -12.331 1.582
Hg 6.204 -5.718 -1.331
Hg 6.791 -6.354 9.066
```

space group = P6_3/mmc, No. 194
crystal system = hexagonal
energy of formation from the pure elements = -30 meV/atom
electronic total energy = -0.99 eV/atom
total magnetic moment = 0.00 μB/f.u.

=====

KRbHg2 after structural relaxation, computed with PBE.

Cell and atoms, written as extended XYZ:
```
4
Lattice="0.000 4.346 4.346 4.346 0.000 4.346 4.346 4.346 0.000" Properties=species:S:1:pos:R:3 pbc="T T T"
K 0.000 0.000 0.000
Hg 2.173 2.173 2.173
Hg 6.519 6.519 6.519
Rb 4.346 4.346 4.346
```

space group = Fm-3m, No. 225
crystal system = cubic
energy of formation from the pure elements = -194 meV/atom
electronic total energy = -0.86 eV/atom
total magnetic moment = 0.00 μB/f.u.

=====

KRb3Hg3 after structural relaxation, computed with PBE.

Cell and atoms, written as extended XYZ:
```
14
Lattice="9.945 0.000 0.000 0.000 9.945 0.000 0.000 0.000 9.945" Properties=species:S:1:pos:R:3 pbc="T T T"
K 4.972 4.972 4.972
K 0.000 0.000 0.000
Hg 0.000 2.486 4.972
Hg 0.000 7.459 4.972
Hg 4.972 0.000 7.459
Hg 7.459 4.972 0.000
Hg 4.972 0.000 2.486
Hg 2.486 4.972 0.000
Rb 2.486 0.000 4.972
Rb 0.000 4.972 2.486
Rb 4.972 7.459 0.000
Rb 7.459 0.000 4.972
Rb 0.000 4.972 7.459
Rb 4.972 2.486 0.000
```

space group = Pm-3n, No. 223
crystal system = cubic
energy of formation from the pure elements = 21 meV/atom
electronic total energy = -0.68 eV/atom
total magnetic moment = 0.00 μB/f.u.

=====

K4Rb5Hg2 after structural relaxation, computed with PBE.

Cell and atoms, written as extended XYZ:
```
11
Lattice="4.827 0.000 0.000 0.000 11.256 -0.400 0.000 -1.535 13.555" Properties=species:S:1:pos:R:3 pbc="T T T"
K 2.414 8.434 7.265
K 2.414 0.741 10.837
K 2.414 1.287 5.890
K 2.414 8.980 2.318
Rb 0.000 5.639 4.440
Rb 0.000 1.493 1.868
Rb 0.000 5.628 -0.200
Rb 0.000 8.228 11.287
Rb 0.000 4.082 8.715
Hg 0.000 -0.141 8.233
Hg 0.000 9.862 4.922
```

space group = P2/m, No. 10
crystal system = monoclinic
energy of formation from the pure elements = -80 meV/atom
electronic total energy = -0.97 eV/atom
total magnetic moment = 0.00 μB/f.u.

=====

K6Rb5Hg after structural relaxation, computed with PBE.

Cell and atoms, written as extended XYZ:
```
12
Lattice="6.914 1.084 -2.021 -2.814 10.361 -4.013 0.034 -1.524 12.397" Properties=species:S:1:pos:R:3 pbc="T T T"
K -0.009 3.213 1.760
K -1.669 9.438 -0.658
K 2.924 2.414 -1.730
K 1.176 9.031 -4.303
K 5.803 0.483 7.021
K 4.143 6.708 4.604
Hg 0.000 0.000 0.000
Rb -0.183 7.647 3.504
Rb 2.678 6.988 -0.188
Rb -1.407 5.181 -2.006
Rb 1.456 2.932 6.552
Rb 4.317 2.274 2.860
```

space group = C2/m, No. 12
crystal system = monoclinic
energy of formation from the pure elements = -22 meV/atom
electronic total energy = -1.00 eV/atom
total magnetic moment = 0.00 μB/f.u.

=====

K5Rb2Hg5 after structural relaxation, computed with PBE.

Cell and atoms, written as extended XYZ:
```
12
Lattice="-2.332 -5.013 2.222 3.593 -4.591 1.231 2.767 2.990 17.817" Properties=species:S:1:pos:R:3 pbc="T T T"
K 2.014 -3.307 10.635
K 0.586 -2.777 2.320
K 1.270 -1.021 7.161
K 2.757 -5.593 14.109
K 3.442 -3.837 18.950
Rb 2.249 1.643 14.145
Rb 1.779 -8.257 7.125
Hg 2.302 -6.924 10.820
Hg 2.886 -0.977 16.840
Hg 1.142 -5.637 4.430
Hg 1.726 0.310 10.450
Hg 0.000 0.000 0.000
```

space group = C2/m, No. 12
crystal system = monoclinic
energy of formation from the pure elements = -165 meV/atom
electronic total energy = -0.91 eV/atom
total magnetic moment = 0.00 μB/f.u.

=====

KRb2Hg2 after structural relaxation, computed with PBE.

Cell and atoms, written as extended XYZ:
```
5
Lattice="5.887 0.000 0.000 0.000 5.887 0.000 2.944 2.944 7.414" Properties=species:S:1:pos:R:3 pbc="T T T"
K 0.000 0.000 0.000
Hg 2.944 2.944 1.461
Hg 5.887 5.887 5.953
Rb 5.887 2.944 3.707
Rb 2.944 5.887 3.707
```

space group = I4/mmm, No. 139
crystal system = tetragonal
energy of formation from the pure elements = -121 meV/atom
electronic total energy = -0.85 eV/atom
total magnetic moment = 0.00 μB/f.u.

=====

K4RbHg4 after structural relaxation, computed with PBE.

Cell and atoms, written as extended XYZ:
```
18
Lattice="-0.731 -2.082 -6.669 -8.272 -6.891 3.058 -7.449 8.172 -1.734" Properties=species:S:1:pos:R:3 pbc="T T T"
K -9.733 4.361 -3.090
K -11.718 0.841 -5.473
K -6.540 -4.654 -0.626
K -5.941 3.410 -1.317
K -12.959 -2.043 -2.545
K -9.958 -2.638 1.011
K -5.286 -3.215 -4.912
K -3.671 0.733 -4.429
Rb 0.000 0.000 0.000
Rb -8.226 -0.401 -2.672
Hg -9.561 -3.778 -2.412
Hg -7.077 2.447 -4.628
Hg -12.530 -0.279 0.521
Hg -9.329 3.242 -6.448
Hg -7.668 -5.596 -3.871
Hg -4.850 -1.431 -1.781
Hg -11.416 1.158 -1.869
Hg -3.376 1.030 -0.892
```

space group = P4_2/n, No. 86
crystal system = tetragonal
energy of formation from the pure elements = -170 meV/atom
electronic total energy = -0.90 eV/atom
total magnetic moment = 0.00 μB/f.u.

=====

K4Rb4Hg after structural relaxation, computed with PBE.

Cell and atoms, written as extended XYZ:
```
9
Lattice="-2.686 2.500 -2.942 -4.748 -8.586 -6.720 -10.285 0.382 5.957" Properties=species:S:1:pos:R:3 pbc="T T T"
K -4.886 0.692 -0.590
K -12.833 -6.395 -3.115
K -8.308 -6.196 -3.319
K -9.412 0.493 -0.386
Rb -11.368 -1.195 3.725
Rb -6.352 -4.508 -7.430
Rb -7.358 -1.629 -4.064
Rb -10.361 -4.074 0.359
Hg -3.717 -3.043 -4.831
```

space group = I4/m, No. 87
crystal system = tetragonal
energy of formation from the pure elements = -38 meV/atom
electronic total energy = -0.99 eV/atom
total magnetic moment = 0.00 μB/f.u.

=====

KRb2Hg after structural relaxation, computed with PBE.

Cell and atoms, written as extended XYZ:
```
4
Lattice="4.952 0.000 0.000 2.476 4.289 0.000 2.476 1.430 12.323" Properties=species:S:1:pos:R:3 pbc="T T T"
K 4.952 2.859 6.156
Rb 2.476 1.430 10.014
Rb 2.476 1.430 2.310
Hg 4.952 2.859 0.004
```

space group = R3m, No. 160
crystal system = trigonal
energy of formation from the pure elements = -72 meV/atom
electronic total energy = -0.91 eV/atom
total magnetic moment = 0.00 μB/f.u.

=====

KRb4Hg4 after structural relaxation, computed with PBE.

Cell and atoms, written as extended XYZ:
```
18
Lattice="-3.402 -3.973 5.234 2.767 -9.492 -5.407 9.617 -0.529 5.849" Properties=species:S:1:pos:R:3 pbc="T T T"
K 0.000 0.000 0.000
K 4.491 -6.997 2.838
Rb 8.432 -4.892 5.669
Rb 6.405 -9.400 6.161
Rb 1.414 -8.093 -1.321
Rb 5.676 -2.633 3.018
Rb 7.068 -11.590 2.354
Rb 5.844 -8.396 -1.247
Rb 0.039 -7.558 3.421
Rb 1.051 -3.412 4.651
Hg 3.400 -9.913 1.360
Hg 4.643 -5.178 5.762
Hg 9.058 -9.117 0.410
Hg 6.064 -6.321 8.159
Hg 0.456 -10.548 1.305
Hg 2.104 -4.997 1.360
Hg 7.817 -7.899 2.870
Hg 2.387 -2.000 1.478
```

space group = P4_2/n, No. 86
crystal system = tetragonal
energy of formation from the pure elements = -170 meV/atom
electronic total energy = -0.86 eV/atom
total magnetic moment = 0.00 μB/f.u.

=====

K4RbHg4 after structural relaxation, computed with PBE.

Cell and atoms, written as extended XYZ:
```
9
Lattice="-2.059 -1.973 -6.308 -5.870 -6.236 7.665 -6.090 3.131 1.009" Properties=species:S:1:pos:R:3 pbc="T T T"
K -7.097 -2.896 4.660
K -10.180 -2.458 2.655
K -6.144 -1.434 0.093
K -4.619 -3.365 -2.675
Rb 0.000 0.000 0.000
Hg -2.569 -2.626 0.417
Hg -8.051 -1.847 -3.148
Hg -10.066 -1.124 6.193
Hg -7.354 -4.557 1.271
```

space group = I-42m, No. 121
crystal system = tetragonal
energy of formation from the pure elements = -113 meV/atom
electronic total energy = -0.84 eV/atom
total magnetic moment = 0.00 μB/f.u.

=====

K2Rb2Hg after structural relaxation, computed with PBE.

Cell and atoms, written as extended XYZ:
```
10
Lattice="-4.866 -1.647 -3.739 1.593 -6.120 0.623 -7.744 2.736 14.274" Properties=species:S:1:pos:R:3 pbc="T T T"
K -7.299 -4.050 11.285
K -5.042 -4.300 3.057
K -5.976 -0.731 8.100
K -0.489 -3.217 2.053
Rb -7.534 -4.605 6.435
Rb -3.640 -0.971 -0.234
Rb -10.607 -1.824 9.210
Rb -3.484 -0.426 4.722
Hg -1.637 -3.883 -1.558
Hg -3.894 -3.634 6.669
```

space group = I4_1/amd, No. 141
crystal system = tetragonal
energy of formation from the pure elements = -73 meV/atom
electronic total energy = -0.96 eV/atom
total magnetic moment = 0.00 μB/f.u.